Record 1
A relaxed structure of Cs2AuCl4, computed with PBE.

Results
Offset from the most stable computed form in meV per atom: 78
Raw total energy in eV per atom: -2.9751
DOS at the Fermi energy in states/eV/cell: 4.61
Volume in A^3/atom: 41.1
E_form (uncorrected) in eV/atom: -1.21

Structure (POSCAR):
```
Cs2AuCl4
1.0
6.777 0.000 0.000
0.000 7.932 0.000
-0.903 0.000 10.705
Cs Au Cl
4 2 8
Cartesian
1.138 1.983 1.640 Cs
1.249 5.949 4.987 Cs
4.624 1.983 5.717 Cs
4.735 5.949 9.065 Cs
0.816 1.983 7.882 Au
5.057 5.949 2.823 Au
0.414 5.949 1.433 Cl
1.322 1.983 5.269 Cl
1.096 4.318 8.077 Cl
1.096 7.580 8.077 Cl
4.778 0.352 2.628 Cl
4.778 3.614 2.628 Cl
4.552 5.949 5.436 Cl
5.459 1.983 9.272 Cl
```

Record 2
A relaxed structure of NaGdSnPb, computed with PBE.

Results
Raw total energy in eV per atom: -6.1015
DOS at the Fermi energy in states/eV/cell: 2.50
Volume in A^3/atom: 27.9
Energy of formation in eV per atom: -0.3237

Structure (POSCAR):
```
NaGdSnPb
1.0
0.000 3.823 3.823
3.823 0.000 3.823
3.823 3.823 0.000
Na Gd Sn Pb
1 1 1 1
Cartesian
0.000 0.000 0.000 Na
3.823 3.823 3.823 Gd
5.735 5.735 5.735 Sn
1.912 1.912 1.912 Pb
```

Record 3
A relaxed structure of Li5Hg3Bi3, computed with PBE.

Results
Offset from the most stable computed form in meV per atom: 0
Raw total energy in eV per atom: -2.1860
DOS at the Fermi energy in states/eV/cell: 6.48
Volume in A^3/atom: 25.7
Energy of formation in eV per atom: -0.1753

Structure (POSCAR):
```
Li5Hg3Bi3
1.0
9.758 0.000 0.000
-4.879 8.451 0.000
0.000 0.000 3.423
Li Hg Bi
5 3 3
Cartesian
-3.987 6.905 0.000 Li
0.892 1.546 0.000 Li
0.000 5.634 0.000 Li
4.879 2.817 0.000 Li
7.973 0.000 0.000 Li
-1.491 2.583 0.000 Hg
2.982 0.000 0.000 Hg
3.388 5.868 0.000 Hg
-2.816 4.878 1.711 Bi
2.063 3.573 1.711 Bi
5.633 0.000 1.711 Bi
```

Record 4
A relaxed structure of PuMnSe4, computed with PBE.

Results
Raw total energy in eV per atom: -7.0321
DOS at the Fermi energy in states/eV/cell: 18.73
Volume in A^3/atom: 27.4
E_form (uncorrected) in eV/atom: -0.79

Structure (POSCAR):
```
PuMnSe4
1.0
7.076 -3.779 0.000
7.076 3.779 0.000
-2.362 0.000 6.152
Pu Mn Se
2 2 8
Cartesian
5.304 2.690 4.614 Pu
6.485 -2.690 1.538 Pu
6.485 0.974 1.538 Mn
5.304 -0.974 4.614 Mn
5.382 2.717 0.102 Se
7.588 2.717 2.974 Se
4.386 0.697 2.913 Se
3.205 -0.697 5.989 Se
8.584 0.697 0.163 Se
7.403 -0.697 3.239 Se
4.201 -2.717 3.178 Se
6.407 -2.717 6.050 Se
```

Record 5
A relaxed structure of MnFeMo2, computed with PBE.

Results
Offset from the most stable computed form in meV per atom: 7
Raw total energy in eV per atom: -9.7078
DOS at the Fermi energy in states/eV/cell: 2.69
Volume in A^3/atom: 13.8
Energy of formation in eV per atom: 0.1158

Structure (POSCAR):
```
MnFeMo2
1.0
2.626 -4.168 0.000
2.626 4.168 0.000
-0.761 0.000 2.524
Mn Fe Mo
1 1 2
Cartesian
0.000 0.000 0.000 Mn
2.626 0.000 0.000 Fe
0.932 2.084 1.262 Mo
0.932 -2.084 1.262 Mo
```

Record 6
A relaxed structure of Dy6Cd5Pb, computed with PBE.

Results
Raw total energy in eV per atom: -3.3400
DOS at the Fermi energy in states/eV/cell: 12.82
Volume in A^3/atom: 26.5
Energy of formation in eV per atom: -0.3487

Structure (POSCAR):
```
Dy6Cd5Pb
1.0
2.663 -8.021 0.000
2.663 8.021 0.000
0.000 0.000 7.442
Dy Cd Pb
6 5 1
Cartesian
0.000 0.000 1.847 Dy
0.000 0.000 5.595 Dy
2.663 2.696 1.829 Dy
2.663 2.696 5.613 Dy
2.663 -2.696 1.829 Dy
2.663 -2.696 5.613 Dy
2.663 5.367 0.000 Cd
2.663 5.225 3.721 Cd
2.663 0.000 0.000 Cd
2.663 -5.225 3.721 Cd
2.663 -5.367 0.000 Cd
2.663 0.000 3.721 Pb
```

Record 7
A relaxed structure of Sc2Ag2Rh, computed with PBE.

Results
Offset from the most stable computed form in meV per atom: 32
Raw total energy in eV per atom: -5.2838
DOS at the Fermi energy in states/eV/cell: 3.11
Volume in A^3/atom: 20.4
Energy of formation in eV per atom: -0.1404

Structure (POSCAR):
```
Sc2Ag2Rh
1.0
-1.808 1.808 7.797
1.808 -1.808 7.797
1.808 1.808 -7.797
Sc Ag Rh
2 2 1
Cartesian
0.000 0.000 1.437 Sc
0.000 0.000 14.157 Sc
1.808 0.000 3.898 Ag
0.000 1.808 3.898 Ag
0.000 0.000 7.797 Rh
```

Record 8
A relaxed structure of SrPRu2, computed with PBE.

Results
Raw total energy in eV per atom: -6.5769
DOS at the Fermi energy in states/eV/cell: 3.66
Volume in A^3/atom: 20.7
Energy of formation in eV per atom: -0.1660

Structure (POSCAR):
```
SrPRu2
1.0
3.869 0.000 0.000
0.000 3.869 0.000
0.000 0.000 5.543
Sr P Ru
1 1 2
Cartesian
0.000 0.000 0.000 Sr
1.934 1.934 1.568 P
0.000 1.934 2.830 Ru
1.934 0.000 2.830 Ru
```

Record 9
A relaxed structure of Zr3Al3Ni2, computed with PBE.

Results
Offset from the most stable computed form in meV per atom: 0
Raw total energy in eV per atom: -6.5819
DOS at the Fermi energy in states/eV/cell: 27.87
Volume in A^3/atom: 17.3
Energy of formation in eV per atom: -0.5276

Structure (POSCAR):
```
Zr3Al3Ni2
1.0
7.425 0.000 0.000
0.000 13.880 0.000
0.000 0.000 5.372
Zr Al Ni
12 12 8
Cartesian
0.211 1.587 0.564 Zr
0.211 5.353 0.564 Zr
1.283 3.470 3.395 Zr
2.430 10.410 0.709 Zr
3.502 8.526 3.249 Zr
3.502 12.293 3.249 Zr
3.924 1.587 2.122 Zr
3.924 5.353 2.122 Zr
4.996 3.470 4.663 Zr
6.142 10.410 1.977 Zr
7.214 8.526 4.808 Zr
7.214 12.293 4.808 Zr
1.338 0.461 3.203 Al
1.338 6.478 3.203 Al
1.345 10.410 3.363 Al
2.368 3.470 0.677 Al
2.374 7.401 0.517 Al
2.374 13.418 0.517 Al
5.051 0.461 4.854 Al
5.051 6.478 4.854 Al
5.057 10.410 4.695 Al
6.080 3.470 2.009 Al
6.087 7.401 2.169 Al
6.087 13.418 2.169 Al
0.781 8.502 1.951 Ni
0.781 12.317 1.951 Ni
2.931 1.562 4.636 Ni
2.931 5.378 4.636 Ni
4.494 8.502 0.735 Ni
4.494 12.317 0.735 Ni
6.644 1.562 3.421 Ni
6.644 5.378 3.421 Ni
```

Record 10
A relaxed structure of TiIr3Rh, computed with PBE.

Results
Offset from the most stable computed form in meV per atom: 0
Raw total energy in eV per atom: -8.4678
DOS at the Fermi energy in states/eV/cell: 9.14
Volume in A^3/atom: 16.4
Energy of formation in eV per atom: -0.1019

Structure (POSCAR):
```
TiIr3Rh
1.0
-2.582 3.584 4.437
2.582 -3.584 4.437
2.582 3.584 -4.437
Ti Ir Rh
2 6 2
Cartesian
0.000 1.792 0.230 Ti
2.582 1.792 4.207 Ti
2.582 1.792 -1.909 Ir
1.291 4.072 -2.218 Ir
1.291 0.488 2.218 Ir
-1.291 3.096 2.218 Ir
1.291 3.096 2.218 Ir
0.000 1.792 6.345 Ir
2.582 0.000 0.000 Rh
0.000 0.000 4.437 Rh
```

Record 11
A relaxed structure of Nb2Cr3Ga, computed with PBE.

Results
Raw total energy in eV per atom: -8.8344
DOS at the Fermi energy in states/eV/cell: 3.56
Volume in A^3/atom: 14.3
Energy of formation in eV per atom: -0.1616

Structure (POSCAR):
```
Nb2Cr3Ga
1.0
2.420 1.397 4.218
-2.420 1.397 4.218
0.000 -2.795 4.218
Nb Cr Ga
2 3 1
Cartesian
0.000 0.000 1.549 Nb
0.000 0.000 11.106 Nb
-1.210 -0.699 4.218 Cr
-1.210 0.699 8.436 Cr
0.000 1.397 4.218 Cr
0.000 0.000 6.327 Ga
```

Record 12
A relaxed structure of SbPAu, computed with PBE.

Results
Offset from the most stable computed form in meV per atom: 139
Raw total energy in eV per atom: -4.0530
DOS at the Fermi energy in states/eV/cell: 1.42
Volume in A^3/atom: 24.5
E_form (uncorrected) in eV/atom: 0.22

Structure (POSCAR):
```
SbPAu
1.0
-1.737 1.737 6.088
1.737 -1.737 6.088
1.737 1.737 -6.088
Sb P Au
1 1 1
Cartesian
0.000 0.000 0.000 Sb
0.000 0.000 9.594 P
0.000 0.000 3.109 Au
```

Number 1: M_tot 1.83 μB per cell. Number 2: M_tot 6.90 μB per cell. Number 3: M_tot 0.00 μB per cell. Number 4: M_tot 14.00 μB per cell. Number 5: M_tot 3.65 μB per cell. Number 6: M_tot 0.00 μB per cell. Number 7: M_tot 0.00 μB per cell. Number 8: M_tot 0.00 μB per cell. Number 9: M_tot 0.00 μB per cell. Number 10: M_tot 0.00 μB per cell. Number 11: M_tot 0.00 μB per cell. Number 12: M_tot 0.00 μB per cell.